## Dy2V2O7 (GGA+U)

Data for a relaxed structure of Dy2V2O7.

Computed properties:
Electronic total energy   -89.46 eV per formula unit
Density   6.9 g cm⁻³

Cell lengths 7.153, 7.153, 7.153 Å; angles 60.00, 60.00, 60.00 degrees
Element x y z (fractional)
Dy1 0.000 0.000 0.000
Dy2 0.000 0.000 0.500
Dy3 0.000 0.500 0.000
Dy4 0.500 0.000 0.000
V1 0.000 0.500 0.500
V2 0.500 0.000 0.500
V3 0.500 0.500 0.000
V4 0.500 0.500 0.500
O1 0.125 0.125 0.125
O2 0.169 0.169 0.581
O3 0.169 0.581 0.169
O4 0.169 0.581 0.581
O5 0.419 0.419 0.831
O6 0.419 0.831 0.419
O7 0.419 0.831 0.831
O8 0.581 0.169 0.169
O9 0.581 0.169 0.581
O10 0.581 0.581 0.169
O11 0.831 0.419 0.419
O12 0.831 0.419 0.831
O13 0.831 0.831 0.419
O14 0.875 0.875 0.875